Entry from Alexandria: an optimized crystal structure of FeHg2F2 (GGA+U).

POSCAR file:
```
FeHg2F2
1.0
-2.094 -5.291 0.466
5.305 -2.108 -0.092
0.290 0.452 6.433
F Fe Hg
4 2 4
Cartesian
3.449 -2.888 0.047 F
-0.237 -4.511 0.327 F
0.787 -1.857 0.095 F
2.424 -5.542 0.280 F
0.000 0.000 0.000 Fe
1.606 -3.699 0.187 Fe
3.408 -2.235 3.242 Hg
0.093 -4.712 3.566 Hg
0.505 -1.814 3.344 Hg
2.997 -5.133 3.464 Hg
```

Computed properties:
Electronic total energy in eV/atom: -3.261
Crystal system: tetragonal
Excess energy over the best structure of this formula in the dataset in eV per atom: 0.0000